Compound: InAgMoO5
Source: Alexandria
Functional: PBE with a Hubbard U
Structure: relaxed

a b c (Å): 8.169 9.373 7.721
angles (deg): 90.00 115.02 90.00
Space group C2/c (No. 15)
Asymmetric unit:
In  0.000  0.000  0.000 (multiplicity 4)
Ag  0.000  0.308  0.250 (multiplicity 4)
Mo  0.000  0.353  0.750 (multiplicity 4)
O  0.000  0.071  0.250 (multiplicity 4)
O  0.038  0.238  0.584 (multiplicity 8)
O  0.193  0.466  0.876 (multiplicity 8)

Output
- total moment (μB/f.u.) = 0.000
- total DFT energy (no corrections) (eV/cell) = -189.43